{"formula": "CuOsO2", "functional": "SCAN", "state": "single point on PBEsol structure", "lattice": [[0.0000, 2.6585, 2.6585], [2.6585, 0.0000, 2.6585], [2.6585, 2.6585, 0.0000]], "species": ["Cu", "Os", "O", "O"], "fractional_positions": [[0.0000, 0.0000, 0.0000], [0.5000, 0.5000, 0.5000], [0.2500, 0.2500, 0.2500], [0.7500, 0.7500, 0.7500]], "spacegroup": "Fm-3m (225)", "dos_ef_per_ev_fu": 3.05, "formation_energy_uncorrected_ev_per_fu": 1.4}


{"formula": "CuOsO3", "functional": "SCAN", "state": "single point on PBEsol structure", "lattice": [[3.7192, 0.0000, 0.0000], [0.0000, 3.7192, 0.0000], [0.0000, 0.0000, 3.7192]], "species": ["Cu", "Os", "O", "O", "O"], "fractional_positions": [[0.0000, 0.0000, 0.0000], [0.5000, 0.5000, 0.5000], [0.0000, 0.0000, 0.5000], [0.0000, 0.5000, 0.0000], [0.5000, 0.0000, 0.0000]], "spacegroup": "Pm-3m (221)", "dos_ef_per_ev_fu": 1.16, "formation_energy_uncorrected_ev_per_fu": 2.9}


{"formula": "CuP2OsO", "functional": "SCAN", "state": "single point on PBEsol structure", "lattice": [[4.6844, 0.0000, 0.0000], [0.0000, 4.6844, 0.0000], [0.0000, 0.0000, 3.6224]], "species": ["Cu", "P", "P", "Os", "O"], "fractional_positions": [[0.0000, 0.0000, 0.0000], [0.0000, 0.5000, 0.5000], [0.5000, 0.0000, 0.5000], [0.5000, 0.5000, 0.5000], [0.5000, 0.5000, 0.0000]], "spacegroup": "P4/mmm (123)", "dos_ef_per_ev_fu": 1.73, "formation_energy_uncorrected_ev_per_fu": 1.9}


{"formula": "Cu5P2O10", "functional": "SCAN", "state": "single point on PBEsol structure", "lattice": [[5.1959, 0.0000, 0.0000], [-1.8812, 4.8559, 0.0000], [-0.0021, -0.9947, 7.5519]], "species": ["Cu", "Cu", "Cu", "Cu", "Cu", "P", "P", "O", "O", "O", "O", "O", "O", "O", "O", "O", "O"], "fractional_positions": [[0.0000, 0.0000, 0.0000], [0.1199, 0.2484, 0.6387], [0.2880, 0.6201, 0.0520], [0.7120, 0.3799, 0.9480], [0.8801, 0.7516, 0.3613], [0.4515, 0.1542, 0.2888], [0.5485, 0.8458, 0.7112], [0.0468, 0.3208, 0.8816], [0.1869, 0.1012, 0.3977], [0.3011, 0.6217, 0.6113], [0.3768, 0.2452, 0.1098], [0.4878, 0.1145, 0.7577], [0.5122, 0.8855, 0.2423], [0.6232, 0.7548, 0.8902], [0.6989, 0.3783, 0.3887], [0.8131, 0.8988, 0.6023], [0.9532, 0.6792, 0.1184]], "spacegroup": "P-1 (2)", "formation_energy_uncorrected_ev_per_fu": -25.8}


{"formula": "Cu4P2O9", "functional": "SCAN", "state": "single point on PBEsol structure", "lattice": [[6.1934, 0.0000, 0.0000], [-1.0379, 7.4647, 0.0000], [-2.9588, -1.7233, 7.2483]], "species": ["Cu", "Cu", "Cu", "Cu", "Cu", "Cu", "Cu", "Cu", "P", "P", "P", "P", "O", "O", "O", "O", "O", "O", "O", "O", "O", "O", "O", "O", "O", "O", "O", "O", "O", "O"], "fractional_positions": [[0.1011, 0.3619, 0.2354], [0.1551, 0.8850, 0.5903], [0.3497, 0.8290, 0.0628], [0.3728, 0.6011, 0.7504], [0.6272, 0.3989, 0.2496], [0.6503, 0.1710, 0.9372], [0.8449, 0.1150, 0.4097], [0.8989, 0.6381, 0.7646], [0.1300, 0.2347, 0.8493], [0.4987, 0.2857, 0.5802], [0.5013, 0.7143, 0.4198], [0.8700, 0.7653, 0.1507], [0.0085, 0.0828, 0.6667], [0.0259, 0.7705, 0.0359], [0.1625, 0.4285, 0.8138], [0.2009, 0.7796, 0.8006], [0.2426, 0.2973, 0.4689], [0.3544, 0.7227, 0.5403], [0.3661, 0.1902, 0.9752], [0.3832, 0.5312, 0.2610], [0.4953, 0.8771, 0.3254], [0.5047, 0.1229, 0.6746], [0.6168, 0.4688, 0.7390], [0.6339, 0.8098, 0.0248], [0.6456, 0.2773, 0.4597], [0.7574, 0.7027, 0.5311], [0.7991, 0.2204, 0.1994], [0.8375, 0.5715, 0.1862], [0.9741, 0.2295, 0.9641], [0.9915, 0.9172, 0.3333]], "spacegroup": "P-1 (2)", "formation_energy_uncorrected_ev_per_fu": -24.1, "relative_energy_mev_per_atom": 0}


{"formula": "CuPO3", "functional": "SCAN", "state": "single point on PBEsol structure", "lattice": [[8.3294, 4.8090, 1.8940], [-8.3294, 4.8090, 1.8940], [0.0000, -9.6180, 1.8940]], "species": ["Cu", "Cu", "Cu", "Cu", "Cu", "Cu", "P", "P", "P", "P", "P", "P", "O", "O", "O", "O", "O", "O", "O", "O", "O", "O", "O", "O", "O", "O", "O", "O", "O", "O"], "fractional_positions": [[0.0377, 0.4018, 0.6067], [0.3933, 0.9623, 0.5982], [0.4018, 0.6067, 0.0377], [0.5982, 0.3933, 0.9623], [0.6067, 0.0377, 0.4018], [0.9623, 0.5982, 0.3933], [0.0413, 0.7891, 0.1400], [0.1400, 0.0413, 0.7891], [0.2109, 0.8600, 0.9587], [0.7891, 0.1400, 0.0413], [0.8600, 0.9587, 0.2109], [0.9587, 0.2109, 0.8600], [0.0297, 0.9608, 0.2273], [0.0339, 0.1937, 0.4769], [0.0392, 0.7727, 0.9703], [0.0575, 0.6267, 0.7046], [0.1937, 0.4769, 0.0339], [0.2273, 0.0297, 0.9608], [0.2954, 0.9425, 0.3733], [0.3733, 0.2954, 0.9425], [0.4769, 0.0339, 0.1937], [0.5231, 0.9661, 0.8063], [0.6267, 0.7046, 0.0575], [0.7046, 0.0575, 0.6267], [0.7727, 0.9703, 0.0392], [0.8063, 0.5231, 0.9661], [0.9425, 0.3733, 0.2954], [0.9608, 0.2273, 0.0297], [0.9661, 0.8063, 0.5231], [0.9703, 0.0392, 0.7727]], "spacegroup": "R-3 (148)", "dos_ef_per_ev_fu": 0.00, "formation_energy_uncorrected_ev_per_fu": -8.8}


{"formula": "Cu2PO5", "functional": "SCAN", "state": "single point on PBEsol structure", "lattice": [[7.8986, 0.0000, 0.0000], [0.0000, 8.3960, 0.0000], [0.0000, 0.0000, 5.7107]], "species": ["Cu", "Cu", "Cu", "Cu", "Cu", "Cu", "Cu", "Cu", "P", "P", "P", "P", "O", "O", "O", "O", "O", "O", "O", "O", "O", "O", "O", "O", "O", "O", "O", "O", "O", "O", "O", "O"], "fractional_positions": [[0.0000, 0.0000, 0.2480], [0.0000, 0.0000, 0.7520], [0.1502, 0.3836, 0.5000], [0.3498, 0.8836, 0.0000], [0.5000, 0.5000, 0.2520], [0.5000, 0.5000, 0.7480], [0.6502, 0.1164, 0.0000], [0.8498, 0.6164, 0.5000], [0.2318, 0.7516, 0.5000], [0.2682, 0.2516, 0.0000], [0.7318, 0.7484, 0.0000], [0.7682, 0.2484, 0.5000], [0.0946, 0.6164, 0.5000], [0.1243, 0.9207, 0.0000], [0.1351, 0.9160, 0.5000], [0.1613, 0.2403, 0.2230], [0.1613, 0.2403, 0.7770], [0.3387, 0.7403, 0.2770], [0.3387, 0.7403, 0.7230], [0.3649, 0.4160, 0.0000], [0.3757, 0.4207, 0.5000], [0.4054, 0.1164, 0.0000], [0.5946, 0.8836, 0.0000], [0.6243, 0.5793, 0.5000], [0.6351, 0.5840, 0.0000], [0.6613, 0.2597, 0.2770], [0.6613, 0.2597, 0.7230], [0.8387, 0.7597, 0.2230], [0.8387, 0.7597, 0.7770], [0.8649, 0.0840, 0.5000], [0.8757, 0.0793, 0.0000], [0.9054, 0.3836, 0.5000]], "spacegroup": "Pnnm (58)", "dos_ef_per_ev_fu": 3.98, "formation_energy_uncorrected_ev_per_fu": -11.8}


{"formula": "Cu9P8O32", "functional": "SCAN", "state": "single point on PBEsol structure", "lattice": [[8.6352, 0.0000, 0.0000], [-2.4625, 8.4117, 0.0000], [-1.4498, -3.8620, 8.0011]], "species": ["Cu", "Cu", "Cu", "Cu", "Cu", "Cu", "Cu", "Cu", "Cu", "P", "P", "P", "P", "P", "P", "P", "P", "O", "O", "O", "O", "O", "O", "O", "O", "O", "O", "O", "O", "O", "O", "O", "O", "O", "O", "O", "O", "O", "O", "O", "O", "O", "O", "O", "O", "O", "O", "O", "O"], "fractional_positions": [[0.0000, 0.0000, 0.0000], [0.0000, 0.5000, 0.5000], [0.2098, 0.2260, 0.4313], [0.2857, 0.6167, 0.0635], [0.3498, 0.1855, 0.9451], [0.5000, 0.0000, 0.5000], [0.6502, 0.8145, 0.0549], [0.7143, 0.3833, 0.9365], [0.7902, 0.7740, 0.5687], [0.0307, 0.3810, 0.1489], [0.1634, 0.8773, 0.6019], [0.3510, 0.0760, 0.2320], [0.4036, 0.4322, 0.7860], [0.5964, 0.5678, 0.2140], [0.6490, 0.9240, 0.7680], [0.8366, 0.1227, 0.3981], [0.9693, 0.6190, 0.8511], [0.0179, 0.1567, 0.4921], [0.0685, 0.3815, 0.3250], [0.0961, 0.2417, 0.0469], [0.1172, 0.5652, 0.1582], [0.1538, 0.0379, 0.2112], [0.1624, 0.6698, 0.9149], [0.1874, 0.6980, 0.5592], [0.1905, 0.9680, 0.7942], [0.2811, 0.2952, 0.8237], [0.2879, 0.9888, 0.5420], [0.3076, 0.4336, 0.6284], [0.4020, 0.0795, 0.0800], [0.4055, 0.9373, 0.2696], [0.4178, 0.2555, 0.3908], [0.4278, 0.5895, 0.2243], [0.4444, 0.6205, 0.9366], [0.5556, 0.3795, 0.0634], [0.5722, 0.4105, 0.7757], [0.5822, 0.7445, 0.6092], [0.5945, 0.0627, 0.7304], [0.5980, 0.9205, 0.9200], [0.6924, 0.5664, 0.3716], [0.7121, 0.0112, 0.4580], [0.7189, 0.7048, 0.1763], [0.8095, 0.0320, 0.2058], [0.8126, 0.3020, 0.4408], [0.8376, 0.3302, 0.0851], [0.8462, 0.9621, 0.7888], [0.8828, 0.4348, 0.8418], [0.9039, 0.7583, 0.9531], [0.9315, 0.6185, 0.6750], [0.9821, 0.8433, 0.5079]], "spacegroup": "P-1 (2)", "dos_ef_per_ev_fu": 7.30, "formation_energy_uncorrected_ev_per_fu": -80.3}


{"formula": "CuPO3", "functional": "SCAN", "state": "single point on PBEsol structure", "lattice": [[10.3637, 0.0000, 0.0000], [0.0000, 4.7931, 0.0000], [-8.3921, 0.0000, 10.7891]], "species": ["Cu", "Cu", "Cu", "Cu", "Cu", "Cu", "Cu", "Cu", "P", "P", "P", "P", "P", "P", "P", "P", "O", "O", "O", "O", "O", "O", "O", "O", "O", "O", "O", "O", "O", "O", "O", "O", "O", "O", "O", "O", "O", "O", "O", "O"], "fractional_positions": [[0.0398, 0.2486, 0.3272], [0.0398, 0.2514, 0.8272], [0.3232, 0.5033, 0.4766], [0.3232, 0.9967, 0.9766], [0.6768, 0.0033, 0.0234], [0.6768, 0.4967, 0.5234], [0.9602, 0.7486, 0.1728], [0.9602, 0.7514, 0.6728], [0.2138, 0.7288, 0.1293], [0.2138, 0.7712, 0.6293], [0.2782, 0.2258, 0.2756], [0.2782, 0.2742, 0.7756], [0.7218, 0.7258, 0.2244], [0.7218, 0.7742, 0.7244], [0.7862, 0.2288, 0.3707], [0.7862, 0.2712, 0.8707], [0.0403, 0.7390, 0.0828], [0.0403, 0.7610, 0.5828], [0.1016, 0.2206, 0.2254], [0.1016, 0.2794, 0.7254], [0.2503, 0.7281, 0.5408], [0.2503, 0.7719, 0.0408], [0.2996, 0.0642, 0.6953], [0.2996, 0.4358, 0.1953], [0.3270, 0.5623, 0.7479], [0.3270, 0.9377, 0.2479], [0.4066, 0.2112, 0.9121], [0.4066, 0.2888, 0.4121], [0.5934, 0.7112, 0.5879], [0.5934, 0.7888, 0.0879], [0.6730, 0.0623, 0.7521], [0.6730, 0.4377, 0.2521], [0.7004, 0.5642, 0.8047], [0.7004, 0.9358, 0.3047], [0.7497, 0.2281, 0.9592], [0.7497, 0.2719, 0.4592], [0.8984, 0.7206, 0.2746], [0.8984, 0.7794, 0.7746], [0.9597, 0.2390, 0.4172], [0.9597, 0.2610, 0.9172]], "spacegroup": "P2_1/c (14)", "dos_ef_per_ev_fu": 0.00, "formation_energy_uncorrected_ev_per_fu": -8.7}


{"formula": "Cu3P4O14", "functional": "SCAN", "state": "single point on PBEsol structure", "lattice": [[4.6163, 0.0000, 0.0000], [1.6594, 6.8163, 0.0000], [2.0260, 1.8752, 7.6132]], "species": ["Cu", "Cu", "Cu", "P", "P", "P", "P", "O", "O", "O", "O", "O", "O", "O", "O", "O", "O", "O", "O", "O", "O"], "fractional_positions": [[0.0000, 0.0000, 0.0000], [0.0340, 0.7407, 0.4629], [0.9660, 0.2593, 0.5371], [0.3462, 0.3362, 0.7786], [0.4136, 0.7652, 0.7151], [0.5864, 0.2348, 0.2849], [0.6538, 0.6638, 0.2214], [0.1668, 0.2293, 0.9512], [0.2120, 0.3825, 0.6129], [0.2386, 0.2726, 0.3261], [0.2645, 0.8575, 0.5542], [0.3148, 0.7617, 0.2505], [0.3157, 0.5524, 0.8178], [0.3256, 0.9006, 0.8438], [0.6744, 0.0994, 0.1562], [0.6843, 0.4476, 0.1822], [0.6852, 0.2383, 0.7495], [0.7355, 0.1425, 0.4458], [0.7614, 0.7274, 0.6739], [0.7880, 0.6175, 0.3871], [0.8332, 0.7707, 0.0488]], "spacegroup": "P-1 (2)", "dos_ef_per_ev_fu": 4.69, "formation_energy_uncorrected_ev_per_fu": -37.9, "relative_energy_mev_per_atom": 0}


{"formula": "Cu3P4O14", "functional": "SCAN", "state": "single point on PBEsol structure", "lattice": [[7.0090, 0.0000, 0.0000], [0.0000, 8.5764, 0.0000], [-3.3223, 0.0000, 8.7349]], "species": ["Cu", "Cu", "Cu", "Cu", "Cu", "Cu", "P", "P", "P", "P", "P", "P", "P", "P", "O", "O", "O", "O", "O", "O", "O", "O", "O", "O", "O", "O", "O", "O", "O", "O", "O", "O", "O", "O", "O", "O", "O", "O", "O", "O", "O", "O"], "fractional_positions": [[0.0000, 0.0000, 0.0000], [0.0000, 0.5000, 0.5000], [0.1960, 0.1305, 0.5134], [0.1960, 0.3695, 0.0134], [0.8040, 0.6305, 0.9866], [0.8040, 0.8695, 0.4866], [0.0739, 0.7328, 0.8004], [0.0739, 0.7672, 0.3004], [0.3870, 0.5071, 0.7935], [0.3870, 0.9929, 0.2935], [0.6130, 0.0071, 0.7065], [0.6130, 0.4929, 0.2065], [0.9261, 0.2328, 0.6996], [0.9261, 0.2672, 0.1996], [0.0093, 0.1144, 0.6136], [0.0093, 0.3856, 0.1136], [0.0261, 0.2251, 0.8769], [0.0261, 0.2749, 0.3769], [0.0895, 0.6010, 0.3561], [0.0895, 0.8990, 0.8561], [0.2804, 0.0354, 0.1255], [0.2804, 0.4646, 0.6255], [0.3003, 0.6701, 0.8299], [0.3003, 0.8299, 0.3299], [0.3641, 0.1201, 0.4025], [0.3641, 0.3799, 0.9025], [0.3866, 0.0341, 0.6808], [0.3866, 0.4659, 0.1808], [0.6134, 0.5341, 0.8192], [0.6134, 0.9659, 0.3192], [0.6359, 0.6201, 0.0975], [0.6359, 0.8799, 0.5975], [0.6997, 0.1701, 0.6701], [0.6997, 0.3299, 0.1701], [0.7196, 0.5354, 0.3745], [0.7196, 0.9646, 0.8745], [0.9105, 0.1010, 0.1439], [0.9105, 0.3990, 0.6439], [0.9739, 0.7251, 0.6231], [0.9739, 0.7749, 0.1231], [0.9907, 0.6144, 0.8864], [0.9907, 0.8856, 0.3864]], "spacegroup": "P2_1/c (14)", "dos_ef_per_ev_fu": 2.52, "formation_energy_uncorrected_ev_per_fu": -37.9, "relative_energy_mev_per_atom": 2}


{"formula": "Cu4P2O9", "functional": "SCAN", "state": "single point on PBEsol structure", "lattice": [[8.0738, 0.0000, 0.0000], [0.0000, 6.2515, 0.0000], [0.0000, 0.0000, 13.3653]], "species": ["Cu", "Cu", "Cu", "Cu", "Cu", "Cu", "Cu", "Cu", "Cu", "Cu", "Cu", "Cu", "Cu", "Cu", "Cu", "Cu", "P", "P", "P", "P", "P", "P", "P", "P", "O", "O", "O", "O", "O", "O", "O", "O", "O", "O", "O", "O", "O", "O", "O", "O", "O", "O", "O", "O", "O", "O", "O", "O", "O", "O", "O", "O", "O", "O", "O", "O", "O", "O", "O", "O"], "fractional_positions": [[0.0657, 0.2500, 0.0878], [0.1423, 0.7500, 0.4468], [0.1472, 0.0082, 0.6568], [0.1472, 0.4918, 0.6568], [0.3528, 0.5082, 0.1568], [0.3528, 0.9918, 0.1568], [0.3577, 0.2500, 0.9468], [0.4343, 0.7500, 0.5878], [0.5657, 0.2500, 0.4122], [0.6423, 0.7500, 0.0532], [0.6472, 0.0082, 0.8432], [0.6472, 0.4918, 0.8432], [0.8528, 0.5082, 0.3432], [0.8528, 0.9918, 0.3432], [0.8577, 0.2500, 0.5532], [0.9343, 0.7500, 0.9122], [0.0027, 0.7500, 0.1557], [0.1522, 0.2500, 0.4140], [0.3478, 0.7500, 0.9140], [0.4973, 0.2500, 0.6557], [0.5027, 0.7500, 0.3443], [0.6522, 0.2500, 0.0860], [0.8478, 0.7500, 0.5860], [0.9973, 0.2500, 0.8443], [0.0858, 0.0435, 0.3613], [0.0858, 0.4565, 0.3613], [0.0939, 0.2500, 0.5256], [0.1006, 0.2500, 0.7449], [0.1130, 0.5478, 0.1504], [0.1130, 0.9522, 0.1504], [0.1199, 0.2500, 0.9327], [0.1621, 0.7500, 0.9064], [0.1980, 0.7500, 0.5926], [0.3020, 0.2500, 0.0926], [0.3379, 0.2500, 0.4064], [0.3801, 0.7500, 0.4327], [0.3870, 0.0478, 0.6504], [0.3870, 0.4522, 0.6504], [0.3994, 0.7500, 0.2449], [0.4061, 0.7500, 0.0256], [0.4142, 0.5435, 0.8613], [0.4142, 0.9565, 0.8613], [0.5858, 0.0435, 0.1387], [0.5858, 0.4565, 0.1387], [0.5939, 0.2500, 0.9744], [0.6006, 0.2500, 0.7551], [0.6130, 0.5478, 0.3496], [0.6130, 0.9522, 0.3496], [0.6199, 0.2500, 0.5673], [0.6621, 0.7500, 0.5936], [0.6980, 0.7500, 0.9074], [0.8020, 0.2500, 0.4074], [0.8379, 0.2500, 0.0936], [0.8801, 0.7500, 0.0673], [0.8870, 0.0478, 0.8496], [0.8870, 0.4522, 0.8496], [0.8994, 0.7500, 0.2551], [0.9061, 0.7500, 0.4744], [0.9142, 0.5435, 0.6387], [0.9142, 0.9565, 0.6387]], "spacegroup": "Pnma (62)", "dos_ef_per_ev_fu": 1.64, "formation_energy_uncorrected_ev_per_fu": -23.5, "relative_energy_mev_per_atom": 39}


| no. | total magnetic moment (Bohr magnetons per cell) | volume (Å³/f.u.) |
| --- | --- | --- |
| 1 | 0.001 | 38 |
| 2 | 5.051 | 51 |
| 3 | 0.000 | 79 |
| 4 | 0.980 | 191 |
| 5 | 4.078 | 168 |
| 6 | 0.002 | 76 |
| 7 | 1.757 | 95 |
| 8 | 2.990 | 581 |
| 9 | 0.000 | 67 |
| 10 | 1.000 | 240 |
| 11 | 2.052 | 263 |
| 12 | 7.955 | 169 |